Entry 1:
LaPu2MoN4: relaxed, PBE.

a b c (Å): 3.4586 11.9069 11.8207
angles (deg): 90.00 90.00 90.00
Closest atoms and distances in Å follow each position.
Space group Cmcm (No. 63)
Unique sites:
1 La 0.0000 0.1001 0.2500 [4 per cell]  2 N 2.54
2 Pu 0.0000 0.3691 0.0449 [8 per cell]  5 N 2.30-2.47
3 Mo 0.0000 0.1588 0.7500 [4 per cell]  4 N 1.99-2.12
4 N 0.0000 0.0000 0.0000 [4 per cell]  4 Pu 2.39
5 N 0.0000 0.2605 0.6164 [8 per cell]  1 Mo 1.99
6 N 0.0000 0.4440 0.2500 [4 per cell]  2 Mo 2.12

ΔE_f (raw), meV/atom: -1000.6
Total energy, eV/f.u.: -85.73

---

Entry 2:
La2PuMo2N6: relaxed, PBE.

a b c (Å): 5.8888 5.8888 17.9150
angles (deg): 90.00 90.00 120.00
Closest atoms and distances in Å follow each position.
Space group R-3m (No. 166, hexagonal axes)
Unique sites:
1 La 0.0000 0.0000 0.2035 [6 per cell]  3 N 2.55
2 Pu 0.0000 0.0000 0.0000 [3 per cell]  6 N 2.33
3 Mo 0.0000 0.0000 0.4007 [6 per cell]  3 N 1.84
4 N 0.0153 0.5077 0.7604 [18 per cell]  1 Mo 1.84

ΔE_f (raw), meV/atom: -780.0
Total energy, eV/f.u.: -104.38

---

Among the records above, which one has the lowest total energy?
La2PuMo2N6